Record 1
# HfGaCl2 | the Alexandria database | PBE-GGA | relaxed
data_HfGaCl2
_chemical_formula_sum 'Hf1 Ga1 Cl2'
_symmetry_space_group_name_H-M 'P 1'
_symmetry_Int_Tables_number 1
_symmetry_space_group_name_Hall 'P 1'
_cell_length_a 4.721
_cell_length_b 4.721
_cell_length_c 4.721
_cell_angle_alpha 60.00
_cell_angle_beta 60.00
_cell_angle_gamma 60.00
loop_
_atom_site_label
_atom_site_fract_x
_atom_site_fract_y
_atom_site_fract_z
Cl1 0.250 0.250 0.250
Cl2 0.750 0.750 0.750
Hf1 0.500 0.500 0.500
Ga1 0.000 0.000 0.000
# Energy ... -17.4 eV per cell
# Polymorph energy (0 for the lowest one) ... 702 meV/atom
# Formation energy without anion corrections ... -17 kJ per mole of atoms
# ρ ... 7.124 g/cm3

---

Record 2
# CsNa2Te2 | the Alexandria database | PBE-GGA | relaxed
data_CsNa2Te2
_chemical_formula_sum 'Cs1 Na2 Te2'
_symmetry_space_group_name_H-M 'P 1'
_symmetry_Int_Tables_number 1
_symmetry_space_group_name_Hall 'P 1'
_cell_length_a 5.313
_cell_length_b 5.313
_cell_length_c 7.743
_cell_angle_alpha 69.93
_cell_angle_beta 69.93
_cell_angle_gamma 90.00
loop_
_atom_site_label
_atom_site_fract_x
_atom_site_fract_y
_atom_site_fract_z
Te1 0.624 0.624 0.751
Te2 0.376 0.376 0.249
Cs1 0.000 0.000 0.000
Na1 0.750 0.250 0.500
Na2 0.250 0.750 0.500
# Energy ... -13.9 eV per cell
# Polymorph energy (0 for the lowest one) ... 58 meV/atom
# Formation energy without anion corrections ... -79 kJ per mole of atoms
# ρ ... 3.771 g/cm3

---

Record 3
# Pm4Tm10Th | the Alexandria database | PBE-GGA | relaxed
data_Pm4Tm10Th
_chemical_formula_sum 'Pm4 Tm10 Th1'
_symmetry_space_group_name_H-M 'P 1'
_symmetry_Int_Tables_number 1
_symmetry_space_group_name_Hall 'P 1'
_cell_length_a 7.992
_cell_length_b 8.830
_cell_length_c 8.830
_cell_angle_alpha 78.18
_cell_angle_beta 63.09
_cell_angle_gamma 63.09
loop_
_atom_site_label
_atom_site_fract_x
_atom_site_fract_y
_atom_site_fract_z
Pm1 0.225 0.000 0.550
Pm2 0.775 0.000 0.450
Pm3 0.225 0.550 0.000
Pm4 0.775 0.450 0.000
Tm1 0.503 0.794 0.794
Tm2 0.297 0.794 0.206
Tm3 0.703 0.794 0.206
Tm4 0.703 0.206 0.794
Tm5 0.910 0.794 0.794
Tm6 0.297 0.206 0.794
Tm7 0.250 0.500 0.500
Tm8 0.750 0.500 0.500
Tm9 0.090 0.206 0.206
Tm10 0.497 0.206 0.206
Th1 0.000 0.000 0.000
# Energy ... -67.3 eV per cell
# DFT formation energy ... 25 kJ per mole of atoms
# ρ ... 8.382 g/cm3

---

Record 4
# NaNd2In9 | the Alexandria database | PBE-GGA | relaxed
data_NaNd2In9
_chemical_formula_sum 'Na1 Nd2 In9'
_symmetry_space_group_name_H-M 'P 1'
_symmetry_Int_Tables_number 1
_symmetry_space_group_name_Hall 'P 1'
_cell_length_a 4.701
_cell_length_b 4.701
_cell_length_c 14.180
_cell_angle_alpha 90.00
_cell_angle_beta 90.00
_cell_angle_gamma 90.00
loop_
_atom_site_label
_atom_site_fract_x
_atom_site_fract_y
_atom_site_fract_z
In1 0.500 0.000 0.838
In2 0.500 0.500 0.664
In3 0.000 0.500 0.838
In4 0.500 0.000 0.500
In5 0.500 0.500 0.000
In6 0.000 0.500 0.162
In7 0.000 0.500 0.500
In8 0.500 0.500 0.336
In9 0.500 0.000 0.162
Nd1 0.000 0.000 0.333
Nd2 0.000 0.000 0.667
Na1 0.000 0.000 0.000
# Energy ... -39.4 eV per cell
# DFT formation energy ... -31 kJ per mole of atoms
# ρ ... 7.125 g/cm3

---

Record 5
# CdFeAg2 | the Alexandria database | PBE-GGA | relaxed
data_CdFeAg2
_chemical_formula_sum 'Cd1 Fe1 Ag2'
_symmetry_space_group_name_H-M 'P 1'
_symmetry_Int_Tables_number 1
_symmetry_space_group_name_Hall 'P 1'
_cell_length_a 2.927
_cell_length_b 2.927
_cell_length_c 8.015
_cell_angle_alpha 90.00
_cell_angle_beta 90.00
_cell_angle_gamma 90.00
loop_
_atom_site_label
_atom_site_fract_x
_atom_site_fract_y
_atom_site_fract_z
Cd1 0.500 0.500 0.250
Ag1 0.000 0.000 0.521
Ag2 0.000 0.000 0.979
Fe1 0.500 0.500 0.750
# Energy ... -14.2 eV per cell
# DFT formation energy ... 22 kJ per mole of atoms
# ρ ... 9.283 g/cm3

---

Record 6
# TcWAu4 | the Alexandria database | PBE-GGA | relaxed
data_TcWAu4
_chemical_formula_sum 'Tc1 W1 Au4'
_symmetry_space_group_name_H-M 'P 1'
_symmetry_Int_Tables_number 1
_symmetry_space_group_name_Hall 'P 1'
_cell_length_a 5.348
_cell_length_b 5.348
_cell_length_c 5.348
_cell_angle_alpha 60.00
_cell_angle_beta 60.00
_cell_angle_gamma 60.00
loop_
_atom_site_label
_atom_site_fract_x
_atom_site_fract_y
_atom_site_fract_z
Au1 0.375 0.375 0.375
Au2 0.875 0.375 0.375
Au3 0.375 0.875 0.375
Au4 0.375 0.375 0.875
W1 0.000 0.000 0.000
Tc1 0.750 0.750 0.750
# Energy ... -31.4 eV per cell
# DFT formation energy ... 81 kJ per mole of atoms
# ρ ... 16.425 g/cm3

---

What did the fifth record say?
# CdFeAg2 | the Alexandria database | PBE-GGA | relaxed
data_CdFeAg2
_chemical_formula_sum 'Cd1 Fe1 Ag2'
_symmetry_space_group_name_H-M 'P 1'
_symmetry_Int_Tables_number 1
_symmetry_space_group_name_Hall 'P 1'
_cell_length_a 2.927
_cell_length_b 2.927
_cell_length_c 8.015
_cell_angle_alpha 90.00
_cell_angle_beta 90.00
_cell_angle_gamma 90.00
loop_
_atom_site_label
_atom_site_fract_x
_atom_site_fract_y
_atom_site_fract_z
Cd1 0.500 0.500 0.250
Ag1 0.000 0.000 0.521
Ag2 0.000 0.000 0.979
Fe1 0.500 0.500 0.750
# Energy ... -14.2 eV per cell
# DFT formation energy ... 22 kJ per mole of atoms
# ρ ... 9.283 g/cm3